# Hf2CdMoPt

A relaxed structure of Hf2CdMoPt (GGA-PBE, Alexandria via LeMat-Bulk).

## Properties
As for the space-group type: P4/mmm (123). The calculation puts the energy of formation from the pure elements at 1.69 eV/atom. Its crystal system is tetragonal.

POSCAR file:
```
Hf2CdMoPt
1.0
5.061 0.000 0.000
0.000 5.061 0.000
0.000 0.000 4.829
Hf Cd Mo Pt
2 1 1 1
Direct
0.000 0.500 0.000 Hf
0.500 0.000 0.000 Hf
0.000 0.000 0.000 Cd
0.000 0.000 0.500 Mo
0.500 0.500 0.500 Pt
```

***

# Hf2CdMoS

A relaxed structure of Hf2CdMoS (GGA-PBE, Alexandria via LeMat-Bulk).

## Properties
As for the space-group type: P4/mmm (123). Its uncorrected formation energy is 1751 meV/atom. Its crystal system is tetragonal.

POSCAR file:
```
Hf2CdMoS
1.0
5.240 0.000 0.000
0.000 5.240 0.000
0.000 0.000 4.479
Hf Cd Mo S
2 1 1 1
Direct
0.000 0.500 0.000 Hf
0.500 0.000 0.000 Hf
0.000 0.000 0.000 Cd
0.500 0.500 0.500 Mo
0.000 0.000 0.500 S
```

***

# HfTaCd2Mo

A relaxed structure of HfTaCd2Mo (GGA-PBE, Alexandria via LeMat-Bulk).

## Properties
As for the space-group type: P4/mmm (123). The calculation puts the energy of formation from the pure elements at 1.96 eV/atom. Its crystal system is tetragonal.

POSCAR file:
```
HfTaCd2Mo
1.0
5.351 0.000 0.000
0.000 5.351 0.000
0.000 0.000 4.867
Hf Ta Cd Mo
1 1 2 1
Direct
0.000 0.000 0.000 Hf
0.000 0.000 0.500 Ta
0.000 0.500 0.000 Cd
0.500 0.000 0.000 Cd
0.500 0.500 0.500 Mo
```